[1]
ZrReAg, single point on PBEsol structure, DFT meta-GGA SCAN; formation energy from the elements = 96 kJ per mole of atoms; spin magnetization = 0.00 μB/f.u.
1.0
-3.6462 -2.4042 0.3646
0.2419 -4.3750 -0.0894
-0.7453 -2.3109 3.6485
Ag Re Zr
1 1 1
direct
0.2500 0.2500 0.2500
0.0000 0.0000 0.0000
0.5000 0.5000 0.5000



[2]
LiCuRu2, single point on PBEsol structure, DFT meta-GGA SCAN; formation energy from the elements = 15 kJ per mole of atoms; spin magnetization = 0.00 μB/f.u.
1.0
-4.1049 -0.3614 0.0903
-2.0740 -0.8140 -3.4677
-1.7562 -3.6907 -0.5330
Cu Li Ru
1 1 2
direct
0.5000 0.5000 0.5000
0.2500 0.2500 0.2500
0.0000 0.0000 0.0000
0.7500 0.7500 0.7500



[3]
RbCuS2Cl, single point on PBEsol structure, DFT meta-GGA SCAN; raw formation energy = 1.059 eV per atom; spin magnetization = 3.00 μB/f.u.
1.0
-1.7082 -4.4503 3.2637
-1.0709 -3.1076 -4.7979
5.4516 -2.0236 0.0939
S Cu Rb Cl
2 1 1 1
direct
0.0000 0.0000 0.5000
0.0000 0.5000 0.0000
0.5000 0.5000 0.5000
0.0000 0.0000 0.0000
0.5000 0.0000 0.0000



[4]
NdAlNi, single point on PBEsol structure, DFT meta-GGA SCAN; formation energy from the elements = -52 kJ per mole of atoms; spin magnetization = 0.00 μB/f.u.
1.0
-1.9188 -2.9443 1.9629
4.9603 0.0046 4.8558
-5.5579 4.0970 0.7122
Ni Nd Al
3 3 3
direct
0.5000 0.6667 0.3333
0.0000 0.0000 0.0000
0.5000 0.3333 0.6667
0.0000 0.5803 0.5803
0.0000 0.4197 0.0000
0.0000 0.0000 0.4197
0.5000 0.7707 0.0000
0.5000 0.0000 0.7707
0.5000 0.2293 0.2293



[5]
LaCuH2, single point on PBEsol structure, DFT meta-GGA SCAN; calculated total energy = -16.496 eV/atom; spin magnetization = 0.00 μB/f.u.
1.0
-1.6741 2.9881 2.7382
-2.3445 -3.1306 1.9829
5.8719 -0.7548 0.9024
H Cu La
4 2 2
direct
0.6941 0.8750 0.2500
0.5559 0.3750 0.2500
0.1250 0.4441 0.7500
0.6250 0.3059 0.7500
0.7500 0.2500 0.5000
0.5000 0.5000 0.0000
0.2500 0.7500 0.5000
0.0000 0.0000 0.0000



[6]
KRb2CrF6, single point on PBEsol structure, DFT meta-GGA SCAN; raw formation energy = -3.143 eV per atom; spin magnetization = 3.00 μB/f.u.
1.0
-2.9019 -5.2529 1.4325
3.3630 2.9437 4.3202
-2.8419 2.8460 4.6787
Cr K Rb F
1 1 2 6
direct
0.0000 0.0000 0.0000
0.5000 0.0000 0.5000
0.7500 0.5000 0.7500
0.2500 0.5000 0.2500
0.8261 0.0000 0.7436
0.2564 0.0000 0.8261
0.7436 0.0000 0.1739
0.1739 0.0000 0.2564
0.7837 0.5674 0.2163
0.2163 0.4326 0.7837



[7]
Dy2Mn12P7, single point on PBEsol structure, DFT meta-GGA SCAN; formation energy from the elements = -79 kJ per mole of atoms; spin magnetization = 15.77 μB/f.u.
1.0
-1.2594 3.0554 1.3383
-6.6012 0.0315 -6.2840
-1.3733 -4.0838 8.0314
Dy Mn P
2 12 7
direct
0.0000 0.3333 0.6667
0.5000 0.6667 0.3333
0.0000 0.6229 0.5749
0.0000 0.9520 0.3771
0.0000 0.4251 0.0480
0.0000 0.1206 0.8444
0.0000 0.7238 0.8794
0.0000 0.1556 0.2762
0.5000 0.0447 0.6090
0.5000 0.5643 0.9553
0.5000 0.3910 0.4357
0.5000 0.8799 0.7784
0.5000 0.8985 0.1201
0.5000 0.2216 0.1015
0.0000 0.8803 0.5906
0.0000 0.7103 0.1197
0.0000 0.4094 0.2897
0.5000 0.2821 0.8747
0.5000 0.5926 0.7179
0.5000 0.1253 0.4074
0.0000 0.0000 0.0000



[8]
Cu3Ge, single point on PBEsol structure, DFT meta-GGA SCAN; formation energy from the elements = -3 kJ per mole of atoms; spin magnetization = 0.00 μB/f.u.
1.0
-2.2431 -2.3023 -2.7084
4.3729 -1.9302 -1.9809
-2.3239 -2.3906 3.9568
Ge Cu
2 6
direct
0.2500 0.3333 0.6667
0.7500 0.6667 0.3333
0.7500 0.1645 0.3291
0.7500 0.1645 0.8355
0.7500 0.6709 0.8355
0.2500 0.8355 0.6709
0.2500 0.8355 0.1645
0.2500 0.3291 0.1645



[9]
Mg2FeTc, single point on PBEsol structure, DFT meta-GGA SCAN; formation energy from the elements = 26 kJ per mole of atoms; spin magnetization = 2.81 μB/f.u.
1.0
2.9191 0.0000 0.0000
0.0000 4.4939 0.0000
-1.4595 -2.2469 4.5555
Fe Mg Tc
1 2 1
direct
0.0000 0.5000 0.0000
0.7384 0.7384 0.4768
0.2616 0.2616 0.5232
0.5000 0.0000 0.0000



[10]
Sr2W, single point on PBEsol structure, DFT meta-GGA SCAN; formation energy from the elements = 145 kJ per mole of atoms; spin magnetization = 0.94 μB/f.u.
1.0
3.1099 0.0000 0.0000
0.0000 7.8949 0.0000
0.0000 0.0000 8.0026
Sr W
4 2
direct
0.0000 0.2126 0.6867
0.0000 0.7874 0.3133
0.5000 0.7126 0.8133
0.5000 0.2874 0.1867
0.0000 0.0000 0.0000
0.5000 0.5000 0.5000



[11]
RbFeSe2N, single point on PBEsol structure, DFT meta-GGA SCAN; raw formation energy = 0.004 eV per atom; spin magnetization = 1.26 μB/f.u.
1.0
-1.7094 1.4377 -2.5636
-4.5783 -1.8987 1.9880
-0.5910 4.4513 2.8904
N Se Rb Fe
1 2 1 1
direct
0.5000 0.0000 0.0000
0.0000 0.0000 0.5000
0.0000 0.5000 0.0000
0.5000 0.5000 0.5000
0.0000 0.0000 0.0000



[12]
CdInCl, single point on PBEsol structure, DFT meta-GGA SCAN; raw formation energy = -0.151 eV per atom; spin magnetization = 0.00 μB/f.u.
1.0
-3.9209 -0.9610 3.2092
-0.0726 -4.3631 2.7485
0.7458 0.1528 5.1007
Cl Cd In
1 1 1
direct
0.2500 0.2500 0.2500
0.5000 0.5000 0.5000
0.0000 0.0000 0.0000